[1]
## Er2CdHg3 (GGA-PBE)

Data for a geometry-optimized Er2CdHg3 structure.

Values from the calculation:
* E: -2.182 eV per atom

Geometry as POSCAR:
```
Er2CdHg3
1.0
5.9192 -0.9560 0.0000
-1.1852 5.8776 0.0000
-2.3670 -2.4608 8.5275
Er Cd Hg
4 2 6
Direct
0.2500 0.7500 0.5000 Er
0.7521 0.7521 0.0000 Er
0.7500 0.2500 0.5000 Er
0.2479 0.2479 0.0000 Er
0.6667 0.6667 0.3335 Cd
0.3333 0.3333 0.6665 Cd
0.3368 0.8315 0.1683 Hg
0.1685 0.6632 0.8317 Hg
0.6632 0.1685 0.8317 Hg
0.8315 0.3368 0.1683 Hg
0.1676 0.1676 0.3351 Hg
0.8324 0.8324 0.6649 Hg
```

***

[2]
## Gd2RuPt (GGA-PBE)

Data for a geometry-optimized Gd2RuPt structure.

Values from the calculation:
* E: -11.624 eV per atom

Geometry as POSCAR:
```
Gd2RuPt
1.0
-1.4021 1.9444 2.5204
-2.9547 0.2296 -1.8208
-2.3682 -5.7492 3.1179
Ru Gd Pt
1 2 1
Direct
0.5000 0.5000 0.0000 Ru
0.0000 0.0000 0.7555 Gd
0.0000 0.0000 0.2445 Gd
0.5000 0.5000 0.5000 Pt
```

***

Calculated total magnetization (μB per formula unit), listed in the same order as above: 0.0, 13.9